# Cs2ScTlI6

A geometry-optimized Cs2ScTlI6 structure (GGA-PBE, the Alexandria database).

Structure (extended XYZ):
```
10
Lattice="8.8746 0.0000 0.0000 4.4373 7.6856 0.0000 4.4373 2.5619 7.2460" Properties=species:S:1:pos:R:3 pbc="T T T"
Cs 13.3118 7.6856 5.4345
Cs 4.4373 2.5619 1.8115
Sc 0.0000 0.0000 0.0000
Tl 8.8746 5.1237 3.6230
I 8.8746 2.3657 1.6728
I 6.4860 3.7447 5.5733
I 8.8746 7.8818 5.5733
I 6.4860 6.5028 1.6728
I 11.2631 3.7447 5.5733
I 11.2631 6.5028 1.6728
```

**Formation energy (no corrections)**: -1.248 eV per atom
**Calculated volume**: 49.42 A^3/atom
**E**: -3.22 eV per atom
**Crystal system**: cubic

# HoLu3Os

A geometry-optimized HoLu3Os structure (GGA-PBE, the Alexandria database).

Structure (extended XYZ):
```
5
Lattice="-4.7479 -0.4009 2.3420 -1.6597 -3.1855 -3.9098 1.7004 -4.2285 2.7233" Properties=species:S:1:pos:R:3 pbc="T T T"
Lu -0.8298 -1.5927 -1.9549
Lu 0.8502 -2.1142 1.3617
Lu -2.3739 -0.2004 1.1710
Os 0.0000 0.0000 0.0000
Ho -2.3535 -3.9074 0.5778
```

**Calculated volume**: 29.93 A^3/atom
**E**: -5.89 eV per atom
**Crystal system**: cubic